VASP calculation (GGA-PBE) on a relaxed structure of Tb3Pr2SmS6.

a = 3.9718 Å, b = 8.0727 Å, c = 8.9616 Å
α = 103.77°, β = 102.80°, γ = 90.00°
Closest atoms and distances in Å follow each position.
Positions (direct):
S 0.0039 0.7465 0.0079  3 Tb 2.77-2.80, 2 Sm 2.86, 1 Pr 2.90
S 0.3321 0.9273 0.6641  3 Tb 2.77-2.79, 1 Sm 2.85, 2 Pr 2.90
S 0.6629 0.5927 0.3258  3 Tb 2.76-2.77, 3 Pr 2.89-2.90
S 0.3371 0.4073 0.6742  3 Tb 2.76-2.77, 3 Pr 2.89-2.90
S 0.9961 0.2535 0.9921  3 Tb 2.77-2.80, 2 Sm 2.86, 1 Pr 2.90
S 0.6679 0.0727 0.3359  3 Tb 2.77-2.79, 1 Sm 2.85, 2 Pr 2.90
Sm 0.5000 0.0000 0.0000  6 S 2.85-2.86
Tb 0.1676 0.8333 0.3353  6 S 2.77-2.79
Tb 0.5000 0.5000 0.0000  6 S 2.76-2.80
Tb 0.8324 0.1667 0.6647  6 S 2.77-2.79
Pr 0.1669 0.3339 0.3338  6 S 2.89-2.90
Pr 0.8331 0.6661 0.6662  6 S 2.89-2.90

Summary:
* volume: 271.7 Å³ per cell
* formation energy without anion corrections: -2018.0 meV per atom